# 1
A plane-wave DFT calculation with GGA-PBE was carried out for a relaxed BaAl2Ru crystal.

abc: 6.056 8.371 3.363
angles: 90.00 95.01 90.00
Space group C2/m (No. 12)
Inequivalent atoms, fractional coordinates:
Ba 0.000 0.000 0.000
Al 0.250 0.250 0.500
Ru 0.000 0.500 0.000

Summary:
Its crystal system is monoclinic. The formation energy from the elements comes out at 0.59 eV/atom.

---

# 2
A plane-wave DFT calculation with GGA-PBE was carried out for a relaxed BaAl2Ru crystal.

abc: 3.876 5.988 8.739
angles: 90.00 90.00 90.00
Space group Immm (No. 71)
Inequivalent atoms, fractional coordinates:
Ba 0.000 0.000 0.000
Al 0.000 0.500 0.174
Ru 0.000 0.000 0.500

Summary:
Its crystal system is orthorhombic. The formation energy from the elements comes out at 0.17 eV/atom.

---

# 3
A plane-wave DFT calculation with GGA-PBE was carried out for a relaxed Ba3AlRu crystal.

abc: 5.828 5.828 5.828
angles: 90.00 90.00 90.00
Space group Pm-3m (No. 221)
Inequivalent atoms, fractional coordinates:
Ba 0.000 0.000 0.500
Al 0.500 0.500 0.500
Ru 0.000 0.000 0.000

Summary:
Its crystal system is cubic. Its energy above the most stable polymorph in this dataset is 0.000 eV per atom. The formation energy from the elements comes out at 0.33 eV/atom.

---

# 4
A plane-wave DFT calculation with GGA-PBE was carried out for a relaxed BaAl2Ru crystal.

abc: 3.163 4.116 14.417
angles: 90.00 90.00 90.00
Space group Imm2 (No. 44)
Inequivalent atoms, fractional coordinates:
Ba 0.000 0.000 0.000
Al 0.000 0.000 0.342
Al 0.000 0.500 0.206
Ru 0.000 0.500 0.710

Summary:
Its crystal system is orthorhombic. The formation energy from the elements comes out at -0.14 eV/atom.

---

# 5
A plane-wave DFT calculation with GGA-PBE was carried out for a relaxed Ba2AlRu crystal.

abc: 3.9014 3.9014 29.7959
angles: 90.00 90.00 120.00
Space group R-3m (No. 166, hexagonal axes)
Inequivalent atoms, fractional coordinates:
Ba 0.0000 0.0000 0.2387
Al 0.0000 0.0000 0.0000
Ru 0.0000 0.0000 0.5000

Summary:
Its crystal system is trigonal. The formation energy from the elements comes out at 0.66 eV/atom.

---

# 6
A plane-wave DFT calculation with GGA-PBE was carried out for a relaxed Ba2AlRuS crystal.

abc: 6.237 6.237 4.491
angles: 90.00 90.00 90.00
Space group P4/mmm (No. 123)
Inequivalent atoms, fractional coordinates:
Ba 0.000 0.500 0.000
Al 0.000 0.000 0.000
Ru 0.000 0.000 0.500
S 0.500 0.500 0.500

Summary:
Its crystal system is tetragonal. The formation energy (no corrections) comes out at 0.0375 eV/atom.

---

# 7
A plane-wave DFT calculation with GGA-PBE was carried out for a relaxed BaAlSnRu2 crystal.

abc: 5.074 5.074 6.167
angles: 90.00 90.00 90.00
Space group P4/mmm (No. 123)
Inequivalent atoms, fractional coordinates:
Ba 0.000 0.000 0.000
Al 0.500 0.500 0.500
Sn 0.000 0.000 0.500
Ru 0.000 0.500 0.000

Summary:
Its crystal system is tetragonal. The formation energy from the elements comes out at 2.17 eV/atom.

---

# 8
A plane-wave DFT calculation with GGA-PBE was carried out for a relaxed BaAl2ZnRu crystal.

abc: 4.808 4.808 5.038
angles: 90.00 90.00 90.00
Space group P4/mmm (No. 123)
Inequivalent atoms, fractional coordinates:
Ba 0.000 0.000 0.000
Al 0.000 0.500 0.500
Zn 0.500 0.500 0.000
Ru 0.500 0.500 0.500

Summary:
Its crystal system is tetragonal. The formation energy from the elements comes out at -0.36 eV/atom.

---

# 9
A plane-wave DFT calculation with GGA-PBE was carried out for a relaxed BaAlZn2Ru crystal.

abc: 4.988 4.988 4.748
angles: 90.00 90.00 90.00
Space group P4/mmm (No. 123)
Inequivalent atoms, fractional coordinates:
Ba 0.000 0.000 0.000
Al 0.500 0.500 0.000
Zn 0.000 0.500 0.500
Ru 0.500 0.500 0.500

Summary:
Its crystal system is tetragonal. The formation energy from the elements comes out at -0.25 eV/atom.

---

# 10
A plane-wave DFT calculation with GGA-PBE was carried out for a relaxed BaAl2S crystal.

abc: 8.352 8.352 6.273
angles: 90.00 90.00 90.00
Space group I-42d (No. 122)
Inequivalent atoms, fractional coordinates:
Ba 0.000 0.000 0.000
Al 0.180 0.750 0.625
S 0.000 0.000 0.500

Summary:
Its crystal system is tetragonal. The formation energy (no corrections) comes out at -0.2487 eV/atom.

---

# 11
A plane-wave DFT calculation with GGA-PBE was carried out for a relaxed Ba3AlS crystal.

abc: 6.074 6.074 6.074
angles: 90.00 90.00 90.00
Space group Pm-3m (No. 221)
Inequivalent atoms, fractional coordinates:
Ba 0.000 0.000 0.500
Al 0.500 0.500 0.500
S 0.000 0.000 0.000

Summary:
Its crystal system is cubic. Its energy above the most stable polymorph in this dataset is 0.000 eV per atom. The formation energy (no corrections) comes out at -0.6669 eV/atom.

---

# 12
A plane-wave DFT calculation with GGA-PBE was carried out for a relaxed BaAlS2 crystal.

abc: 7.221 7.221 7.597
angles: 90.00 90.00 90.00
Space group I-42d (No. 122)
Inequivalent atoms, fractional coordinates:
Ba 0.000 0.000 0.000
Al 0.000 0.000 0.500
S 0.149 0.750 0.625

Summary:
Its crystal system is tetragonal. The formation energy (no corrections) comes out at -1.1980 eV/atom.

---

Number 1: calculated volume 21.23 Å³/atom, electronic total energy -0.1500 hartree per atom. Number 2: calculated volume 25.35 Å³/atom, electronic total energy -0.1653 hartree per atom. Number 3: calculated volume 39.59 Å³/atom, electronic total energy -0.1260 hartree per atom. Number 4: calculated volume 23.46 Å³/atom, electronic total energy -0.1767 hartree per atom. Number 5: calculated volume 32.73 Å³/atom, electronic total energy -0.1308 hartree per atom. Number 6: calculated volume 34.94 Å³/atom, electronic total energy -0.1529 hartree per atom. Number 7: calculated volume 31.75 Å³/atom, electronic total energy -0.1275 hartree per atom. Number 8: calculated volume 23.29 Å³/atom, electronic total energy -0.1599 hartree per atom. Number 9: calculated volume 23.63 Å³/atom, electronic total energy -0.1378 hartree per atom. Number 10: calculated volume 27.35 Å³/atom, electronic total energy -0.1335 hartree per atom. Number 11: calculated volume 44.81 Å³/atom, electronic total energy -0.1247 hartree per atom. Number 12: calculated volume 24.76 Å³/atom, electronic total energy -0.1719 hartree per atom.